Record 1
CdI2: relaxed, GGA-PBE.

Geometry as CIF:
```
data_CdI2
_chemical_formula_sum 'Cd6 I12'
_cell_length_a 4.3148
_cell_length_b 4.3148
_cell_length_c 44.9759
_cell_angle_alpha 87.25
_cell_angle_beta 87.25
_cell_angle_gamma 60.00
_space_group_name_H-M_alt 'P 1'
_space_group_IT_number 1
loop_
_space_group_symop_operation_xyz
'x,y,z'
loop_
_atom_site_label
_atom_site_fract_x
_atom_site_fract_y
_atom_site_fract_z
I1 0.6955 0.6955 0.9135
I2 0.8878 0.8878 0.3365
I3 0.0545 0.0545 0.8365
I4 0.1101 0.1101 0.6698
I5 0.6399 0.6399 0.0802
I6 0.4733 0.4733 0.5802
I7 0.8323 0.8323 0.5031
I8 0.2767 0.2767 0.1698
I9 0.5288 0.5288 0.4135
I10 0.9989 0.9989 0.0032
I11 0.5844 0.5844 0.2468
I12 0.4177 0.4177 0.7469
Cd1 0.7639 0.7639 0.7083
Cd2 0.3750 0.3750 0.8750
Cd3 0.3194 0.3194 0.0417
Cd4 0.1528 0.1528 0.5417
Cd5 0.9306 0.9306 0.2083
Cd6 0.2083 0.2083 0.3750
```

DFT total energy = -1.91 eV/atom
SG = R3m


Record 2
CdI2: relaxed, GGA-PBE.

Geometry as CIF:
```
data_CdI2
_chemical_formula_sum 'Cd1 I2'
_cell_length_a 4.3177
_cell_length_b 4.3151
_cell_length_c 7.9426
_cell_angle_alpha 74.13
_cell_angle_beta 74.23
_cell_angle_gamma 59.98
_space_group_name_H-M_alt 'P 1'
_space_group_IT_number 1
loop_
_space_group_symop_operation_xyz
'x,y,z'
loop_
_atom_site_label
_atom_site_fract_x
_atom_site_fract_y
_atom_site_fract_z
I1 0.2570 0.2566 0.2294
I2 0.7430 0.7434 0.7706
Cd1 0.0000 0.0000 0.0000
```

DFT total energy = -1.91 eV/atom
SG = C2/m


Record 3
CdI2: relaxed, GGA-PBE.

Geometry as CIF:
```
data_CdI2
_chemical_formula_sum 'Cd2 I4'
_cell_length_a 4.3152
_cell_length_b 4.3175
_cell_length_c 15.2351
_cell_angle_alpha 81.85
_cell_angle_beta 81.84
_cell_angle_gamma 59.98
_space_group_name_H-M_alt 'P 1'
_space_group_IT_number 1
loop_
_space_group_symop_operation_xyz
'x,y,z'
loop_
_atom_site_label
_atom_site_fract_x
_atom_site_fract_y
_atom_site_fract_z
I1 0.4182 0.4183 0.7451
I2 0.1620 0.1615 0.5149
I3 0.5849 0.5850 0.2451
I4 0.9952 0.9950 0.0149
Cd1 0.7897 0.7901 0.6300
Cd2 0.2900 0.2900 0.1300
```

DFT total energy = -1.91 eV/atom
SG = R-3m


Record 4
CdI: relaxed, GGA-PBE.

Geometry as CIF:
```
data_CdI
_chemical_formula_sum 'Cd6 I6'
_cell_length_a 10.4960
_cell_length_b 10.4960
_cell_length_c 5.9154
_cell_angle_alpha 90.00
_cell_angle_beta 90.00
_cell_angle_gamma 120.00
_space_group_name_H-M_alt 'P 1'
_space_group_IT_number 1
loop_
_space_group_symop_operation_xyz
'x,y,z'
loop_
_atom_site_label
_atom_site_fract_x
_atom_site_fract_y
_atom_site_fract_z
I1 0.3755 0.0735 0.2500
I2 0.6245 0.9265 0.7500
I3 0.3021 0.3755 0.7500
I4 0.0735 0.6979 0.7500
I5 0.6979 0.6245 0.2500
I6 0.9265 0.3021 0.2500
Cd1 0.0497 0.6852 0.2500
Cd2 0.3645 0.0497 0.7500
Cd3 0.6852 0.6355 0.7500
Cd4 0.9503 0.3148 0.7500
Cd5 0.6355 0.9503 0.2500
Cd6 0.3148 0.3645 0.2500
```

DFT total energy = -1.39 eV/atom
SG = P6_3/m


Record 5
CdI2: relaxed, GGA-PBE.

Geometry as CIF:
```
data_CdI2
_chemical_formula_sum 'Cd1 I2'
_cell_length_a 4.3162
_cell_length_b 4.3158
_cell_length_c 7.4461
_cell_angle_alpha 89.98
_cell_angle_beta 89.98
_cell_angle_gamma 60.04
_space_group_name_H-M_alt 'P 1'
_space_group_IT_number 1
loop_
_space_group_symop_operation_xyz
'x,y,z'
loop_
_atom_site_label
_atom_site_fract_x
_atom_site_fract_y
_atom_site_fract_z
I1 0.8333 0.3333 0.2677
I2 0.1667 0.6667 0.7323
Cd1 0.5000 0.0000 0.5000
```

DFT total energy = -1.91 eV/atom
SG = P-3m1


Record 6
CdI: relaxed, GGA-PBE.

Geometry as CIF:
```
data_CdI
_chemical_formula_sum 'Cd4 I4'
_cell_length_a 7.3089
_cell_length_b 7.3089
_cell_length_c 7.3089
_cell_angle_alpha 90.00
_cell_angle_beta 90.00
_cell_angle_gamma 90.00
_space_group_name_H-M_alt 'P 1'
_space_group_IT_number 1
loop_
_space_group_symop_operation_xyz
'x,y,z'
loop_
_atom_site_label
_atom_site_fract_x
_atom_site_fract_y
_atom_site_fract_z
Cd1 0.2500 0.7500 0.7500
Cd2 0.7500 0.2500 0.7500
Cd3 0.7500 0.7500 0.2500
Cd4 0.2500 0.2500 0.2500
I1 0.5000 0.5000 0.0000
I2 0.0000 0.0000 0.0000
I3 0.0000 0.5000 0.5000
I4 0.5000 0.0000 0.5000
```

DFT total energy = -1.29 eV/atom
SG = F-43m


Record 7
CdI2: relaxed, GGA-PBE.

Geometry as CIF:
```
data_CdI2
_chemical_formula_sum 'Cd6 I12'
_cell_length_a 4.3409
_cell_length_b 4.3409
_cell_length_c 43.2285
_cell_angle_alpha 90.00
_cell_angle_beta 90.00
_cell_angle_gamma 120.00
_space_group_name_H-M_alt 'P 1'
_space_group_IT_number 1
loop_
_space_group_symop_operation_xyz
'x,y,z'
loop_
_atom_site_label
_atom_site_fract_x
_atom_site_fract_y
_atom_site_fract_z
I1 0.6667 0.3333 0.0776
I2 0.6667 0.3333 0.7403
I3 0.3333 0.6667 0.6746
I4 0.3333 0.6667 0.4152
I5 0.0000 0.0000 0.8274
I6 0.6667 0.3333 0.5884
I7 0.0000 0.0000 0.5050
I8 0.0000 0.0000 0.3358
I9 0.0000 0.0000 0.1667
I10 0.6667 0.3333 0.2460
I11 0.6667 0.3333 0.9069
I12 0.0000 0.0000 0.9982
Cd1 0.3333 0.6667 0.2058
Cd2 0.3333 0.6667 0.5433
Cd3 0.3333 0.6667 0.0374
Cd4 0.0000 0.0000 0.6398
Cd5 0.6667 0.3333 0.3750
Cd6 0.3333 0.6667 0.8668
```

DFT total energy = -1.79 eV/atom
SG = P3m1


Record 8
CdI2: relaxed, GGA-PBE.

Geometry as CIF:
```
data_CdI2
_chemical_formula_sum 'Cd4 I8'
_cell_length_a 4.3159
_cell_length_b 4.3159
_cell_length_c 30.0093
_cell_angle_alpha 90.00
_cell_angle_beta 90.00
_cell_angle_gamma 120.00
_space_group_name_H-M_alt 'P 1'
_space_group_IT_number 1
loop_
_space_group_symop_operation_xyz
'x,y,z'
loop_
_atom_site_label
_atom_site_fract_x
_atom_site_fract_y
_atom_site_fract_z
I1 0.6667 0.3333 0.9423
I2 0.0000 0.0000 0.0576
I3 0.0000 0.0000 0.3077
I4 0.3333 0.6667 0.4423
I5 0.3333 0.6667 0.1924
I6 0.0000 0.0000 0.5576
I7 0.6667 0.3333 0.6924
I8 0.0000 0.0000 0.8077
Cd1 0.3333 0.6667 0.7500
Cd2 0.6667 0.3333 0.5000
Cd3 0.6667 0.3333 0.2500
Cd4 0.3333 0.6667 0.0000
```

DFT total energy = -1.91 eV/atom
SG = P6_3mc


Record 9
CdInI: relaxed, GGA-PBE.

Geometry as CIF:
```
data_CdInI
_chemical_formula_sum 'Cd1 In1 I1'
_cell_length_a 4.8579
_cell_length_b 4.8579
_cell_length_c 5.3473
_cell_angle_alpha 90.00
_cell_angle_beta 90.00
_cell_angle_gamma 120.00
_space_group_name_H-M_alt 'P 1'
_space_group_IT_number 1
loop_
_space_group_symop_operation_xyz
'x,y,z'
loop_
_atom_site_label
_atom_site_fract_x
_atom_site_fract_y
_atom_site_fract_z
I1 0.0000 0.0000 0.0072
Cd1 0.3333 0.6667 0.6263
In1 0.6667 0.3333 0.3664
```

DFT total energy = -1.90 eV/atom
SG = P3m1
energy above the most stable polymorph in this dataset = 0.0 meV per atom


Record 10
Cd2InI: relaxed, GGA-PBE.

Geometry as CIF:
```
data_Cd2InI
_chemical_formula_sum 'Cd4 In2 I2'
_cell_length_a 7.4286
_cell_length_b 7.4286
_cell_length_c 7.9673
_cell_angle_alpha 62.21
_cell_angle_beta 62.21
_cell_angle_gamma 90.00
_space_group_name_H-M_alt 'P 1'
_space_group_IT_number 1
loop_
_space_group_symop_operation_xyz
'x,y,z'
loop_
_atom_site_label
_atom_site_fract_x
_atom_site_fract_y
_atom_site_fract_z
I1 0.7500 0.2500 0.5000
I2 0.0000 0.0000 0.0000
In1 0.2500 0.7500 0.5000
In2 0.5000 0.5000 0.0000
Cd1 0.3750 0.4054 0.7500
Cd2 0.8750 0.8446 0.7500
Cd3 0.5946 0.1250 0.2500
Cd4 0.1554 0.6250 0.2500
```

DFT total energy = -1.52 eV/atom
SG = I-42d
energy above the most stable polymorph in this dataset = 91.6 meV per atom


Record 11
CdIn2I: relaxed, GGA-PBE.

Geometry as CIF:
```
data_CdIn2I
_chemical_formula_sum 'Cd1 In2 I1'
_cell_length_a 4.1201
_cell_length_b 4.1201
_cell_length_c 8.9977
_cell_angle_alpha 76.76
_cell_angle_beta 76.76
_cell_angle_gamma 60.00
_space_group_name_H-M_alt 'P 1'
_space_group_IT_number 1
loop_
_space_group_symop_operation_xyz
'x,y,z'
loop_
_atom_site_label
_atom_site_fract_x
_atom_site_fract_y
_atom_site_fract_z
In1 0.2574 0.2574 0.2277
In2 0.7426 0.7426 0.7723
Cd1 0.0000 0.0000 0.0000
I1 0.5000 0.5000 0.5000
```

DFT total energy = -2.05 eV/atom
SG = R-3m
energy above the most stable polymorph in this dataset = 6.4 meV per atom


It is found that the energy relative to the elements, uncorrected values, taken in the order of the records, are -0.5698, -0.5697, -0.5699, -0.1593, -0.5697, -0.0621, -0.4519, -0.5702, -0.1625, 0.0059, -0.0618 eV per atom.